# 1
A relaxed structure of TbScRu2. Source: Alexandria, functional PBE.

E_tot in eV per atom: -7.771
Energy of formation from the pure elements in eV/atom: -0.393
Total magnetization in μB/cell: 0.00

Geometry as CIF:
```
data_TbScRu2
_chemical_formula_sum 'Tb1 Sc1 Ru2'
_space_group_name_H-M_alt 'P 4/m m m'
_space_group_IT_number 123
_space_group_name_Hall '-P 4 2'
_cell_length_a 3.310
_cell_length_b 3.310
_cell_length_c 6.639
_cell_angle_alpha 90.00
_cell_angle_beta 90.00
_cell_angle_gamma 90.00
loop_
_atom_site_label
_atom_site_fract_x
_atom_site_fract_y
_atom_site_fract_z
Tb1 0.000 0.000 0.000
Sc1 0.000 0.000 0.500
Ru1 0.500 0.500 0.265
```

***

# 2
A relaxed structure of Tb5ScRu6. Source: Alexandria, functional PBE.

E_tot in eV per atom: -7.413
Energy of formation from the pure elements in eV/atom: -0.318
Total magnetization in μB/cell: 0.00

Geometry as CIF:
```
data_Tb5ScRu6
_chemical_formula_sum 'Tb10 Sc2 Ru12'
_space_group_name_H-M_alt 'C 1 2/m 1'
_space_group_IT_number 12
_cell_length_a 8.270
_cell_length_b 14.307
_cell_length_c 4.788
_cell_angle_alpha 90.00
_cell_angle_beta 125.24
_cell_angle_gamma 90.00
loop_
_space_group_symop_operation_xyz
'x,y,z'
'-x,-y,-z'
'-x,y,-z'
'x,-y,z'
'x+1/2,y+1/2,z'
'-x+1/2,-y+1/2,-z'
'-x+1/2,y+1/2,-z'
'x+1/2,-y+1/2,z'
loop_
_atom_site_label
_atom_site_fract_x
_atom_site_fract_y
_atom_site_fract_z
Tb1 0.000 0.000 0.000
Tb2 0.000 0.167 0.500
Tb3 0.000 0.337 0.000
Sc1 0.000 0.500 0.500
Ru1 0.244 0.500 0.244
Ru2 0.247 0.336 0.747
```

***

# 3
A relaxed structure of TbSc2Ru. Source: Alexandria, functional PBE.

Excess energy over the best structure of this formula in the dataset in meV/atom: 0.0
E_tot in eV per atom: -6.980
Energy of formation from the pure elements in eV/atom: -0.338
Total magnetization in μB/cell: 0.00

Geometry as CIF:
```
data_TbSc2Ru
_chemical_formula_sum 'Tb4 Sc8 Ru4'
_space_group_name_H-M_alt 'P n m a'
_space_group_IT_number 62
_cell_length_a 7.178
_cell_length_b 8.563
_cell_length_c 5.997
_cell_angle_alpha 90.00
_cell_angle_beta 90.00
_cell_angle_gamma 90.00
loop_
_space_group_symop_operation_xyz
'x,y,z'
'-x,-y,-z'
'-x+1/2,-y,z+1/2'
'x+1/2,y,-z+1/2'
'x+1/2,-y+1/2,-z+1/2'
'-x+1/2,y+1/2,z+1/2'
'-x,y+1/2,-z'
'x,-y+1/2,z'
loop_
_atom_site_label
_atom_site_fract_x
_atom_site_fract_y
_atom_site_fract_z
Tb1 0.036 0.250 0.124
Sc1 0.174 0.064 0.656
Ru1 0.117 0.750 0.435
```